# 1
Here is a relaxed structure of Li2AlVO4 from Alexandria. Energies are from GGA-PBEsol.

Lattice parameters (Å, degrees): 4.018 6.783 11.425 90.00 90.00 90.00
Last column: magnetic moment on the atom in μB.
Atoms (fractional coordinates):
Li 0.250 0.501 0.338  0.00
Li 0.250 0.263 0.585  0.00
Li 0.250 0.237 0.085  0.00
Li 0.250 0.999 0.838  0.00
Li 0.750 0.001 0.162  0.00
Li 0.750 0.763 0.915  0.00
Li 0.750 0.737 0.415  0.00
Li 0.750 0.499 0.662  0.00
Al 0.750 0.255 0.917  0.01
Al 0.750 0.245 0.417  0.01
Al 0.250 0.755 0.583  0.01
Al 0.250 0.745 0.083  0.01
V 0.750 0.482 0.169  1.78
V 0.750 0.018 0.669  1.78
V 0.250 0.982 0.331  1.78
V 0.250 0.518 0.831  1.78
O 0.750 0.485 0.838  0.02
O 0.750 0.471 0.336  0.01
O 0.750 0.248 0.573  0.01
O 0.250 0.272 0.910  -0.01
O 0.250 0.228 0.410  -0.01
O 0.750 0.252 0.073  0.01
O 0.750 0.029 0.836  0.01
O 0.750 0.015 0.338  0.02
O 0.250 0.985 0.662  0.02
O 0.250 0.971 0.164  0.01
O 0.250 0.748 0.927  0.01
O 0.750 0.772 0.590  -0.01
O 0.750 0.728 0.090  -0.01
O 0.250 0.752 0.427  0.01
O 0.250 0.529 0.664  0.01
O 0.250 0.515 0.162  0.02

Values from the calculation:
Its formation energy from raw total energies is -2.382 eV/atom. The calculated total energy is -230.8 eV/cell. The value obtained for the energy relative to the lowest polymorph listed for this composition is 114.7 meV/atom. The symmetry is Pnma.


# 2
Here is a relaxed structure of ReSb3C from Alexandria. Energies are from GGA-PBEsol.

Lattice parameters (Å, degrees): 5.070 5.070 5.070 90.00 90.00 90.00
Last column: magnetic moment on the atom in μB.
Atoms (fractional coordinates):
Re 0.000 0.000 0.000  -0.06
C 0.500 0.500 0.500  0.72
Sb 0.000 0.500 0.000  -0.08
Sb 0.000 0.000 0.500  -0.08
Sb 0.500 0.000 0.000  -0.08

Values from the calculation:
Its formation energy from raw total energies is 1.895 eV/atom. The calculated total energy is -27.2 eV/cell. The value obtained for the energy relative to the lowest polymorph listed for this composition is 460.1 meV/atom. The symmetry is Pm-3m.


# 3
Here is a relaxed structure of LaIn2Sb from Alexandria. Energies are from GGA-PBEsol.

Lattice parameters (Å, degrees): 4.637 4.637 4.891 90.00 90.00 90.00
Atoms (fractional coordinates):
Sb 0.000 0.000 0.500
La 0.500 0.500 0.500
In 0.000 0.500 0.000
In 0.500 0.000 0.000

Values from the calculation:
Its formation energy from raw total energies is -0.625 eV/atom. The calculated total energy is -18.4 eV/cell. The value obtained for the energy relative to the lowest polymorph listed for this composition is 0.0 meV/atom. The symmetry is P4/mmm.


# 4
Here is a relaxed structure of KSr2Co from Alexandria. Energies are from GGA-PBEsol.

Lattice parameters (Å, degrees): 4.114 4.114 9.603 90.00 90.00 90.01
Last column: magnetic moment on the atom in μB.
Atoms (fractional coordinates):
Co 0.000 0.000 0.607  1.31
K 0.500 0.500 0.297  0.00
Sr 0.000 0.000 0.932  -0.02
Sr 0.500 0.500 0.663  -0.07

Values from the calculation:
The calculated total energy is -10.2 eV/cell. The calculation puts the formation energy at 2.34 eV/f.u. The value obtained for the energy relative to the lowest polymorph listed for this composition is 0.0 meV/atom. The symmetry is P4mm.


# 5
Here is a relaxed structure of Y4In from Alexandria. Energies are from GGA-PBEsol.

Lattice parameters (Å, degrees): 4.710 5.924 5.924 80.91 66.57 66.57
Atoms (fractional coordinates):
Y 0.607 0.596 0.190
Y 0.797 0.810 0.596
Y 0.393 0.404 0.810
Y 0.203 0.190 0.404
In 0.000 0.000 0.000

Values from the calculation:
The calculated total energy is -31.3 eV/cell. The calculation puts the formation energy at -1.01 eV/f.u. The symmetry is I4/m.


# 6
Here is a relaxed structure of SrSi2Ag from Alexandria. Energies are from GGA-PBEsol.

Lattice parameters (Å, degrees): 4.354 4.354 5.938 68.49 68.49 60.00
Atoms (fractional coordinates):
Ag 0.300 0.300 0.100
Si 0.991 0.991 0.026
Si 0.708 0.708 0.877
Sr 0.501 0.501 0.497

Values from the calculation:
Its formation energy from raw total energies is -0.085 eV/atom. The calculated total energy is -17.0 eV/cell. The symmetry is R3m.


# 7
Here is a relaxed structure of K2SbAu from Alexandria. Energies are from GGA-PBEsol.

Lattice parameters (Å, degrees): 4.889 5.482 6.162 116.40 90.00 90.00
Atoms (fractional coordinates):
Sb 0.000 0.335 0.545
K 0.000 0.022 0.919
K 0.500 0.727 0.329
Au 0.500 0.416 0.707

Values from the calculation:
Its formation energy from raw total energies is -0.387 eV/atom. The calculated total energy is -12.3 eV/cell. The symmetry is Amm2.


# 8
Here is a relaxed structure of SrSc2TaTc from Alexandria. Energies are from GGA-PBEsol.

Lattice parameters (Å, degrees): 4.681 4.681 4.903 90.00 90.00 90.00
Last column: magnetic moment on the atom in μB.
Atoms (fractional coordinates):
Sc 0.000 0.500 0.000  -0.04
Sc 0.500 0.000 0.000  -0.04
Sr 0.000 0.000 0.000  0.01
Tc 0.500 0.500 0.500  1.28
Ta 0.000 0.000 0.500  -0.20

Values from the calculation:
The calculated total energy is -27.6 eV/cell. The calculation puts the formation energy at 11.22 eV/f.u. The symmetry is P4/mmm.